(1)
The following is a DFT calculation (GGA-PBEsol) of an optimized crystal structure of NaCrP2S6.

Calculated values
* uncorrected energy: -110.2 eV/cell
* excess energy over the best structure of this formula in the dataset: 0 meV/atom
* energy relative to the elements, uncorrected: -0.556 eV per atom

a b c (Å): 6.817 6.817 11.069
angles (deg): 102.54 102.54 107.15
Site moments in Bohr magnetons follow the coordinates.
Atoms (fractional coordinates):
Na 0.664 0.664 0.328  0.00
Na 0.914 0.414 0.828  0.00
Cr 0.001 0.001 0.001  2.78
Cr 0.251 0.751 0.501  2.78
P 0.010 0.892 0.678  0.02
P 0.668 0.786 0.678  0.02
P 0.142 0.760 0.178  0.02
P 0.036 0.418 0.178  0.02
S 0.154 0.135 0.849  -0.01
S 0.694 0.714 0.849  -0.01
S 0.385 0.904 0.349  -0.01
S 0.964 0.444 0.349  -0.01
S 0.052 0.989 0.522  -0.02
S 0.470 0.533 0.522  -0.02
S 0.239 0.802 0.022  -0.02
S 0.783 0.220 0.022  -0.02
S 0.099 0.630 0.660  -0.01
S 0.561 0.030 0.660  -0.01
S 0.880 0.849 0.160  -0.01
S 0.280 0.311 0.160  -0.01

=====

(2)
The following is a DFT calculation (GGA-PBEsol) of an optimized crystal structure of NaScCr2P.

Calculated values
* uncorrected energy: -27.1 eV/cell
* energy relative to the elements: 1.431 eV per atom

a b c (Å): 4.637 4.637 4.769
angles (deg): 90.00 90.00 90.00
Site moments in Bohr magnetons follow the coordinates.
Atoms (fractional coordinates):
Sc 0.500 0.500 0.500  -0.10
Cr 0.000 0.500 0.000  3.93
Cr 0.500 0.000 0.000  3.93
Na 0.000 0.000 0.000  0.09
P 0.000 0.000 0.500  -0.03

=====

(3)
The following is a DFT calculation (GGA-PBEsol) of an optimized crystal structure of NaCr2Pb2.

Calculated values
* uncorrected energy: -28.0 eV/cell
* energy relative to the elements: 0.371 eV per atom

a b c (Å): 3.311 3.311 9.652
angles (deg): 99.88 99.88 90.00
Atoms (fractional coordinates):
Pb 0.372 0.372 0.745
Pb 0.628 0.628 0.255
Cr 0.250 0.750 0.500
Cr 0.750 0.250 0.500
Na 0.000 0.000 0.000

=====

(4)
The following is a DFT calculation (GGA-PBEsol) of an optimized crystal structure of RbNaCrPd2.

Calculated values
* uncorrected energy: -20.5 eV/cell
* energy relative to the elements: 0.826 eV per atom

a b c (Å): 4.817 4.817 5.720
angles (deg): 90.00 90.00 90.00
Site moments in Bohr magnetons follow the coordinates.
Atoms (fractional coordinates):
Cr 0.000 0.000 0.000  3.42
Rb 0.000 0.000 0.500  0.05
Pd 0.000 0.500 0.000  0.17
Pd 0.500 0.000 0.000  0.17
Na 0.500 0.500 0.500  -0.01

=====

(5)
The following is a DFT calculation (GGA-PBEsol) of an optimized crystal structure of NaCrPt3.

Calculated values
* uncorrected energy: -29.1 eV/cell
* energy relative to the elements: 0.684 eV per atom

a b c (Å): 4.577 4.577 4.577
angles (deg): 90.00 90.00 90.00
Atoms (fractional coordinates):
Cr 0.000 0.000 0.000
Pt 0.000 0.500 0.000
Pt 0.000 0.000 0.500
Pt 0.500 0.000 0.000
Na 0.500 0.500 0.500

=====

(6)
The following is a DFT calculation (GGA-PBEsol) of an optimized crystal structure of Na3CrRe.

Calculated values
* uncorrected energy: -16.8 eV/cell
* energy relative to the elements: 2.192 eV per atom

a b c (Å): 5.440 5.440 5.440
angles (deg): 90.00 90.00 90.00
Site moments in Bohr magnetons follow the coordinates.
Atoms (fractional coordinates):
Re 0.500 0.500 0.500  3.60
Na 0.000 0.500 0.000  0.01
Na 0.000 0.000 0.500  0.01
Na 0.500 0.000 0.000  0.01
Cr 0.000 0.000 0.000  4.31

=====

- Number 3 is which compound?
  NaCr2Pb2